DFT (PBE-GGA) results for crystalline La3Zn2In at its relaxed geometry.

Output
Distance to the lowest polymorph of the same formula ... 0 meV/atom
Energy of formation from the pure elements ... -0.38 eV per atom

Unit cell a=3.774 b=3.774 c=11.801 alpha=90.00 beta=90.00 gamma=90.00
Element x y z (fractional)
La: 0.000 0.000 0.000
La: 0.000 0.000 0.316
La: 0.000 0.000 0.684
Zn: 0.500 0.500 0.155
Zn: 0.500 0.500 0.845
In: 0.500 0.500 0.500